(1)
Crystalline RbZnF2 at its relaxed geometry. Source: Alexandria via LeMat-Bulk, functional PBE.

a b c (Å): 6.567 6.567 6.567
angles (deg): 90.00 90.00 90.00
Atoms (fractional coordinates):
Rb 0.000 0.000 0.000
Rb 0.000 0.500 0.500
Rb 0.500 0.000 0.500
Rb 0.500 0.500 0.000
Zn 0.000 0.000 0.500
Zn 0.000 0.500 0.000
Zn 0.500 0.000 0.000
Zn 0.500 0.500 0.500
F 0.250 0.250 0.250
F 0.250 0.250 0.750
F 0.250 0.750 0.250
F 0.250 0.750 0.750
F 0.750 0.250 0.250
F 0.750 0.250 0.750
F 0.750 0.750 0.250
F 0.750 0.750 0.750

Values from the calculation:
Electronic total energy in eV/atom: -3.042
ΔE to the lowest computed polymorph in meV per atom: 304
Raw formation energy in eV/atom: -1.55
Space-group type: Fm-3m (225)


(2)
Crystalline Rb2ZnF4 at its relaxed geometry. Source: Alexandria via LeMat-Bulk, functional PBE.

a b c (Å): 4.226 4.226 13.864
angles (deg): 90.00 90.00 90.00
Atoms (fractional coordinates):
Rb 0.000 0.000 0.146
Rb 0.000 0.000 0.854
Rb 0.500 0.500 0.354
Rb 0.500 0.500 0.646
Zn 0.000 0.000 0.500
Zn 0.500 0.500 0.000
F 0.000 0.000 0.353
F 0.000 0.000 0.647
F 0.000 0.500 0.000
F 0.000 0.500 0.500
F 0.500 0.000 0.000
F 0.500 0.000 0.500
F 0.500 0.500 0.147
F 0.500 0.500 0.853

Values from the calculation:
Electronic total energy in eV/atom: -4.129
ΔE to the lowest computed polymorph in meV per atom: 0
Raw formation energy in eV/atom: -2.60
Space-group type: I4/mmm (139)


Q: What is the electronic total energy in the second record?
A: -4.129 eV/atom